! PBE CaBeF4, relaxed; values from VASP
! **Space group**: No. 141
! **DOS(E_F)**: 0.00 states/eV per atom
! **Spin magnetization**: 0.00 μB/cell
! **Formation energy (no corrections)**: -21.81 eV per formula unit
&SYSTEM
  ibrav = 0, nat = 12, ntyp = 3
/
ATOMIC_SPECIES
Ca 40.08 Ca.upf
Be 9.01 Be.upf
F 19.00 F.upf
ATOMIC_POSITIONS angstrom
Ca 0.000 0.000 0.000
Ca 2.907 -0.038 2.475
Be -1.272 2.615 2.475
Be 1.635 2.577 0.000
F -1.480 3.908 1.606
F -0.013 2.978 3.344
F 1.428 3.871 0.869
F 1.843 1.283 0.869
F 1.259 0.363 4.081
F -1.064 1.321 1.606
F -1.259 -0.363 4.081
F -2.531 2.252 3.344
CELL_PARAMETERS angstrom
5.815 -0.075 0.000
-2.544 5.229 0.000
-1.635 -2.577 4.950